1.
A plane-wave DFT calculation with GGA-PBEsol was carried out for a geometry-optimized CrRuAu structure.

Lattice parameters (Å, degrees): 2.6961 2.6961 6.6506 90.00 90.00 120.00
Closest atoms and distances in Å follow each position.
Sites, in units of the cell vectors:
Cr: 0.3333 0.6667 0.6474  3 Ru 2.46, 6 Cr 2.70
Ru: 0.6667 0.3333 0.3609  3 Cr 2.46, 6 Ru 2.70
Au: 0.0000 0.0000 0.9917  6 Au 2.70, 3 Cr 2.77, 3 Ru 2.91

Computed properties:
DFT formation energy	0.716	eV/f.u.
distance to the lowest polymorph of the same formula	0.0324	eV/atom
crystal system	trigonal
D(E_F)	2.88	states/eV/cell
calculated volume	41.87	Å³/cell
space group	P3m1 (156)

---

2.
A plane-wave DFT calculation with GGA-PBEsol was carried out for a geometry-optimized CrRuAu structure.

Lattice parameters (Å, degrees): 2.7544 2.7544 5.8725 103.56 103.56 90.00
Closest atoms and distances in Å follow each position.
Sites, in units of the cell vectors:
Au: 0.0049 0.0049 0.0098  4 Au 2.75, 4 Cr 2.77, 4 Ru 2.89
Ru: 0.3123 0.3123 0.6246  4 Cr 2.42
Cr: 0.6828 0.6828 0.3656  4 Ru 2.42

Computed properties:
DFT formation energy	0.619	eV/f.u.
distance to the lowest polymorph of the same formula	0.0000	eV/atom
crystal system	tetragonal
D(E_F)	3.37	states/eV/cell
calculated volume	42.03	Å³/cell
space group	I4mm (107)

---

3.
A plane-wave DFT calculation with GGA-PBEsol was carried out for a geometry-optimized CrSnRuAu2 structure.

Lattice parameters (Å, degrees): 4.7299 4.7299 4.8178 90.00 90.00 90.00
Closest atoms and distances in Å follow each position.
Sites, in units of the cell vectors:
Ru: 0.5000 0.5000 0.5000  4 Sn 3.34, 8 Au 3.38
Sn: 0.0000 0.0000 0.5000  2 Cr 2.41
Au: 0.0000 0.5000 0.0000  2 Cr 2.36
Au: 0.5000 0.0000 0.0000  2 Cr 2.36
Cr: 0.0000 0.0000 0.0000  4 Au 2.36, 2 Sn 2.41

Computed properties:
DFT formation energy	7.370	eV/f.u.
crystal system	tetragonal
D(E_F)	6.43	states/eV/cell
calculated volume	107.78	Å³/cell
space group	P4/mmm (123)

---

4.
A plane-wave DFT calculation with GGA-PBEsol was carried out for a geometry-optimized Cr3AuS structure.

Lattice parameters (Å, degrees): 4.1054 4.1054 4.1054 90.00 90.00 90.00
Closest atoms and distances in Å follow each position.
Sites, in units of the cell vectors:
Au: 0.5000 0.5000 0.5000  12 Cr 2.90
Cr: 0.5000 0.0000 0.0000  2 S 2.05
Cr: 0.0000 0.0000 0.5000  2 S 2.05
Cr: 0.0000 0.5000 0.0000  2 S 2.05
S: 0.0000 0.0000 0.0000  6 Cr 2.05

Computed properties:
crystal system	cubic
D(E_F)	7.52	states/eV/cell
formation energy without anion corrections	0.389	eV per atom
calculated volume	69.20	Å³/cell
space group	Pm-3m (221)